No. 1
The following is a DFT calculation (GGA-PBE) of an optimized crystal structure of HoPaCoS4.

```
HoPaCoS4
1.0
6.307 0.000 0.178
0.000 5.684 0.000
-2.245 0.000 7.271
Ho Pa Co S
2 2 2 8
Direct
0.737 0.750 0.937
0.263 0.250 0.063
0.754 0.750 0.443
0.246 0.250 0.557
0.241 0.750 0.340
0.759 0.250 0.660
0.014 0.508 0.757
0.986 0.008 0.243
0.986 0.492 0.243
0.014 0.992 0.757
0.428 0.750 0.124
0.572 0.250 0.876
0.429 0.750 0.616
0.571 0.250 0.384
```

Summary:
The symmetry is P2_1/m, No. 11. Its raw formation energy is -1.413 eV/atom. The value obtained for the density of states at the Fermi level is 7.56 states/eV/cell.

No. 2
The following is a DFT calculation (GGA-PBE) of an optimized crystal structure of Ni3PdPt4.

```
Ni3PdPt4
1.0
2.666 0.000 -0.567
-0.422 3.752 -1.982
1.336 -1.836 12.829
Ni Pt Pd
3 4 1
Direct
0.000 0.500 0.000
0.209 0.194 0.417
0.791 0.806 0.583
0.400 0.194 0.801
0.600 0.806 0.199
0.677 0.585 0.354
0.323 0.415 0.646
0.500 0.000 0.000
```

Summary:
The symmetry is C2/m, No. 12. The formation energy is 0.1468 eV per atom. The value obtained for the density of states at the Fermi level is 14.42 states/eV/cell.

No. 3
The following is a DFT calculation (GGA-PBE) of an optimized crystal structure of SiAs2AuSe.

```
SiAs2AuSe
1.0
-4.973 -0.733 0.462
0.542 -4.490 -1.292
0.642 -1.313 4.832
As Au Si Se
2 1 1 1
Direct
0.000 0.000 0.500
0.500 0.000 0.000
0.500 0.500 0.500
0.000 0.500 0.000
0.000 0.000 0.000
```

Summary:
The symmetry is P4/mmm, No. 123. The value obtained for the offset from the most stable computed form is 324 meV/atom. Its raw formation energy is 1.016 eV/atom. The value obtained for the density of states at the Fermi level is 3.91 states/eV/cell.

No. 4
The following is a DFT calculation (GGA-PBE) of an optimized crystal structure of AgHg2C2O6.

```
AgHg2C2O6
1.0
-1.208 0.706 5.143
0.032 -5.540 -1.994
6.602 3.921 1.012
Ag Hg C O
1 2 2 6
Direct
0.500 0.000 0.500
0.651 0.302 0.116
0.349 0.698 0.884
0.020 0.040 0.706
0.980 0.960 0.294
0.882 0.764 0.645
0.101 0.788 0.256
0.312 0.212 0.744
0.899 0.212 0.744
0.688 0.788 0.256
0.118 0.236 0.355
```

Summary:
The symmetry is C2/m, No. 12. Its raw formation energy is -0.781 eV/atom. The value obtained for the density of states at the Fermi level is 1.85 states/eV/cell.

No. 5
The following is a DFT calculation (GGA-PBE) of an optimized crystal structure of LiAcLuPd.

```
LiAcLuPd
1.0
-2.574 3.831 -2.453
-4.421 -1.057 -2.581
-4.583 1.682 1.868
Ac Lu Pd Li
1 1 1 1
Direct
0.500 0.500 0.500
0.000 0.000 0.000
0.750 0.750 0.750
0.250 0.250 0.250
```

Summary:
The symmetry is F-43m, No. 216. The formation energy is -0.3175 eV per atom. The value obtained for the density of states at the Fermi level is 2.30 states/eV/cell.

No. 6
The following is a DFT calculation (GGA-PBE) of an optimized crystal structure of Dy6CuAg2.

```
Dy6CuAg2
1.0
6.881 0.000 0.682
0.000 7.209 0.000
0.195 0.000 10.039
Dy Cu Ag
12 2 4
Direct
0.846 0.982 0.250
0.805 0.674 0.551
0.859 0.684 0.937
0.641 0.184 0.563
0.695 0.174 0.949
0.654 0.482 0.250
0.154 0.018 0.750
0.195 0.326 0.449
0.141 0.316 0.063
0.359 0.816 0.437
0.305 0.826 0.051
0.346 0.518 0.750
0.500 0.500 0.000
0.000 0.000 0.500
0.936 0.382 0.735
0.564 0.882 0.765
0.436 0.118 0.235
0.064 0.618 0.265
```

Summary:
The symmetry is P2_1/c, No. 14. The formation energy is -0.0765 eV per atom. The value obtained for the density of states at the Fermi level is 21.56 states/eV/cell.

No. 7
The following is a DFT calculation (GGA-PBE) of an optimized crystal structure of Tb2ThCo9.

```
Tb2ThCo9
1.0
-3.258 2.734 -2.599
-2.326 -1.975 -3.941
-7.940 -2.344 2.709
Tb Th Co
2 1 9
Direct
0.860 0.860 0.421
0.140 0.140 0.579
0.000 0.000 0.000
0.666 0.666 0.003
0.334 0.334 0.997
0.500 0.500 0.500
0.417 0.417 0.245
0.920 0.417 0.245
0.417 0.920 0.245
0.583 0.583 0.755
0.583 0.080 0.755
0.080 0.583 0.755
```

Summary:
The symmetry is R-3m, No. 166. The formation energy is -0.1757 eV per atom. The value obtained for the density of states at the Fermi level is 16.79 states/eV/cell.

No. 8
The following is a DFT calculation (GGA-PBE) of an optimized crystal structure of NdH2Cl.

```
NdH2Cl
1.0
-1.073 -3.695 0.595
1.603 1.039 -3.393
9.373 -2.113 3.781
Nd H Cl
2 4 2
Direct
0.667 0.333 0.664
0.333 0.667 0.336
0.333 0.667 0.561
0.667 0.333 0.439
0.000 0.000 0.359
0.000 0.000 0.641
0.667 0.333 0.162
0.333 0.667 0.838
```

Summary:
The symmetry is P-3m1, No. 164. The value obtained for the offset from the most stable computed form is 0 meV/atom. The value obtained for the density of states at the Fermi level is 0.00 states/eV/cell.

No. 9
The following is a DFT calculation (GGA-PBE) of an optimized crystal structure of Ca2Ni2Rh.

```
Ca2Ni2Rh
1.0
-1.053 -2.959 -1.133
1.482 0.595 -2.932
7.390 -4.840 0.852
Ni Ca Rh
2 2 1
Direct
0.750 0.250 0.500
0.250 0.750 0.500
0.395 0.395 0.210
0.605 0.605 0.790
0.000 0.000 0.000
```

Summary:
The symmetry is I4/mmm, No. 139. The value obtained for the offset from the most stable computed form is 241 meV/atom. The formation energy is -0.0345 eV per atom. The value obtained for the density of states at the Fermi level is 5.39 states/eV/cell.

No. 10
The following is a DFT calculation (GGA-PBE) of an optimized crystal structure of LiBe2AlTe4.

```
LiBe2AlTe4
1.0
5.911 0.245 0.000
-0.246 5.911 0.000
-2.832 -3.078 5.988
Li Be Al Te
1 2 1 4
Direct
0.000 0.000 0.000
0.750 0.250 0.500
0.250 0.750 0.500
0.500 0.500 0.000
0.612 0.612 0.727
0.388 0.885 0.273
0.885 0.388 0.273
0.115 0.115 0.727
```

Summary:
The symmetry is I-42m, No. 121. Its raw formation energy is -0.498 eV/atom. The value obtained for the density of states at the Fermi level is 0.00 states/eV/cell.

No. 11
The following is a DFT calculation (GGA-PBE) of an optimized crystal structure of YHfSc2.

```
YHfSc2
1.0
3.298 0.000 0.000
1.649 2.856 0.000
1.649 0.952 10.808
Y Sc Hf
1 2 1
Direct
0.500 0.500 0.500
0.256 0.256 0.232
0.744 0.744 0.768
0.000 0.000 0.000
```

Summary:
The symmetry is R-3m, No. 166. The value obtained for the offset from the most stable computed form is 35 meV/atom. The formation energy is 0.0851 eV per atom. The value obtained for the density of states at the Fermi level is 5.95 states/eV/cell.

No. 12
The following is a DFT calculation (GGA-PBE) of an optimized crystal structure of Zr2NF.

```
Zr2NF
1.0
5.193 0.000 0.000
0.000 5.193 0.000
2.596 2.596 5.052
N Zr F
2 4 2
Direct
0.500 0.500 0.000
0.250 0.750 0.500
0.584 0.125 0.250
0.166 0.625 0.250
0.375 0.416 0.750
0.875 0.834 0.750
0.000 0.000 0.000
0.750 0.250 0.500
```

Summary:
The symmetry is I-42d, No. 122. Its raw formation energy is -1.447 eV/atom. The value obtained for the density of states at the Fermi level is 0.78 states/eV/cell.

No. 13
The following is a DFT calculation (GGA-PBE) of an optimized crystal structure of V6Mo5W.

```
V6Mo5W
1.0
4.181 0.016 -1.223
-0.843 5.395 -2.809
-0.080 0.410 7.523
Mo W V
5 1 6
Direct
0.666 0.166 0.332
0.333 0.333 0.666
0.000 0.500 0.000
0.667 0.667 0.334
0.334 0.834 0.668
0.000 0.000 0.000
0.833 0.582 0.666
0.833 0.083 0.666
0.500 0.749 0.000
0.500 0.251 0.000
0.167 0.917 0.334
0.167 0.418 0.334
```

Summary:
The symmetry is C2/m, No. 12. The formation energy is -0.1231 eV per atom. The value obtained for the density of states at the Fermi level is 10.34 states/eV/cell.

No. 14
The following is a DFT calculation (GGA-PBE) of an optimized crystal structure of Sr3Si2SnPd9.

```
Sr3Si2SnPd9
1.0
6.395 0.000 0.000
-3.198 5.538 0.000
0.000 0.000 9.324
Sr Si Sn Pd
3 2 1 9
Direct
0.333 0.667 0.668
0.000 0.000 0.000
0.667 0.333 0.332
0.333 0.667 0.163
0.667 0.333 0.837
0.000 0.000 0.500
0.851 0.149 0.725
0.851 0.702 0.725
0.298 0.149 0.725
0.702 0.851 0.275
0.149 0.298 0.275
0.149 0.851 0.275
0.500 0.000 0.000
0.000 0.500 0.000
0.500 0.500 0.000
```

Summary:
The symmetry is P-3m1, No. 164. Its raw formation energy is -0.587 eV/atom. The value obtained for the density of states at the Fermi level is 7.16 states/eV/cell.